Entry 1:
DFT (GGA-PBE) results for a relaxed NaZrInNi crystal.

The structure in CIF format:
```
data_NaZrInNi
_chemical_formula_sum 'Na4 Zr4 In4 Ni4'
_cell_length_a 6.748
_cell_length_b 6.748
_cell_length_c 6.748
_cell_angle_alpha 90.00
_cell_angle_beta 90.00
_cell_angle_gamma 90.00
_symmetry_space_group_name_H-M 'F -4 3 m'
_symmetry_Int_Tables_number 216
_symmetry_space_group_name_Hall 'F -4 2 3'
loop_
_atom_site_label
_atom_site_type_symbol
_atom_site_fract_x
_atom_site_fract_y
_atom_site_fract_z
Na1 Na 0.000 0.000 0.000
Zr1 Zr 0.000 0.000 0.500
In1 In 0.250 0.250 0.750
Ni1 Ni 0.250 0.250 0.250
```

***

Entry 2:
DFT (GGA-PBE) results for a relaxed NaZrInNi crystal.

The structure in CIF format:
```
data_NaZrInNi
_chemical_formula_sum 'Na4 Zr4 In4 Ni4'
_cell_length_a 6.586
_cell_length_b 6.586
_cell_length_c 6.586
_cell_angle_alpha 90.00
_cell_angle_beta 90.00
_cell_angle_gamma 90.00
_symmetry_space_group_name_H-M 'F -4 3 m'
_symmetry_Int_Tables_number 216
_symmetry_space_group_name_Hall 'F -4 2 3'
loop_
_atom_site_label
_atom_site_type_symbol
_atom_site_fract_x
_atom_site_fract_y
_atom_site_fract_z
Na1 Na 0.000 0.000 0.000
Zr1 Zr 0.250 0.250 0.750
In1 In 0.250 0.250 0.250
Ni1 Ni 0.000 0.000 0.500
```

***

Entry 3:
DFT (GGA-PBE) results for a relaxed NaNpIn crystal.

The structure in CIF format:
```
data_NaNpIn
_chemical_formula_sum 'Na4 Np4 In4'
_cell_length_a 7.425
_cell_length_b 7.425
_cell_length_c 7.425
_cell_angle_alpha 90.00
_cell_angle_beta 90.00
_cell_angle_gamma 90.00
_symmetry_space_group_name_H-M 'F -4 3 m'
_symmetry_Int_Tables_number 216
_symmetry_space_group_name_Hall 'F -4 2 3'
loop_
_atom_site_label
_atom_site_type_symbol
_atom_site_fract_x
_atom_site_fract_y
_atom_site_fract_z
Na1 Na 0.000 0.000 0.000
Np1 Np 0.000 0.000 0.500
In1 In 0.250 0.250 0.250
```

***

Entry 4:
DFT (GGA-PBE) results for a relaxed NaInOs crystal.

The structure in CIF format:
```
data_NaInOs
_chemical_formula_sum 'Na4 In4 Os4'
_cell_length_a 6.400
_cell_length_b 6.400
_cell_length_c 6.400
_cell_angle_alpha 90.00
_cell_angle_beta 90.00
_cell_angle_gamma 90.00
_symmetry_space_group_name_H-M 'F -4 3 m'
_symmetry_Int_Tables_number 216
_symmetry_space_group_name_Hall 'F -4 2 3'
loop_
_atom_site_label
_atom_site_type_symbol
_atom_site_fract_x
_atom_site_fract_y
_atom_site_fract_z
Na1 Na 0.000 0.000 0.000
In1 In 0.250 0.250 0.750
Os1 Os 0.250 0.250 0.250
```

***

Energy above the most stable polymorph in this dataset for every record listed, in sequence, given in meV/atom: 156; 0; 0; 507.